Pu4TeSe2S: relaxed, PBE-GGA.

## Properties
Formation energy (no corrections), kcal/mol of atoms: -32.90

a b c (Å): 7.2503 4.1860 7.2650
angles (deg): 90.00 109.47 90.00
Space group P2/m (No. 10)
Unique sites:
Pu (0.2417, 0.0000, 0.2300) (multiplicity 2)
Pu (0.2540, 0.5000, 0.7676) (multiplicity 2)
Te (0.5000, 0.5000, 0.5000) (multiplicity 1)
Se (0.0000, 0.0000, 0.5000) (multiplicity 1)
Se (0.0000, 0.5000, 0.0000) (multiplicity 1)
S (0.5000, 0.0000, 0.0000) (multiplicity 1)

***

MnIrSe2: relaxed, PBE-GGA.

## Properties
Formation energy (no corrections), kcal/mol of atoms: 2.41
Offset from the most stable computed form, eV/atom: 0.343

a b c (Å): 3.3166 3.7209 11.5767
angles (deg): 90.00 90.00 90.00
Space group Imm2 (No. 44)
Unique sites:
Mn (0.0000, 0.0000, 0.0000) (multiplicity 2)
Ir (0.0000, 0.5000, 0.2972) (multiplicity 2)
Se (0.0000, 0.0000, 0.6034) (multiplicity 2)
Se (0.0000, 0.5000, 0.8437) (multiplicity 2)

***

Ho5SbTe4: relaxed, PBE-GGA.

## Properties
Formation energy (no corrections), kcal/mol of atoms: -28.60

a b c (Å): 4.3104 4.3104 31.2404
angles (deg): 90.00 90.00 90.00
Space group I4/mmm (No. 139)
Unique sites:
Ho (0.0000, 0.0000, 0.0000) (multiplicity 2)
Ho (0.0000, 0.0000, 0.2084) (multiplicity 4)
Ho (0.0000, 0.0000, 0.4058) (multiplicity 4)
Sb (0.0000, 0.0000, 0.5000) (multiplicity 2)
Te (0.0000, 0.0000, 0.1034) (multiplicity 4)
Te (0.0000, 0.0000, 0.3057) (multiplicity 4)

***

Ac3In2Ni4: relaxed, PBE-GGA.

## Properties
Formation enthalpy at 0 K, kJ per mole of atoms: -31

a b c (Å): 10.8717 4.4028 8.9146
angles (deg): 90.00 97.52 90.00
Space group C2/m (No. 12)
Unique sites:
Ac (0.0000, 0.0000, 0.0000) (multiplicity 2)
Ac (0.1270, 0.5000, 0.3787) (multiplicity 4)
In (0.1740, 0.5000, 0.7836) (multiplicity 4)
Ni (0.0752, 0.0000, 0.6223) (multiplicity 4)
Ni (0.2387, 0.5000, 0.0781) (multiplicity 4)

***

Tl7Te6P: relaxed, PBE-GGA.

## Properties
Formation energy (no corrections), kcal/mol of atoms: -3.45

a b c (Å): 8.3565 15.0939 18.3929
angles (deg): 90.00 90.00 90.00
Space group Ibam (No. 72)
Unique sites:
Tl (0.0000, 0.0000, 0.2500) (multiplicity 4)
Tl (0.0991, 0.2634, 0.1168) (multiplicity 16)
Tl (0.2222, 0.0533, 0.0000) (multiplicity 8)
Te (0.1410, 0.1563, 0.5000) (multiplicity 8)
Te (0.1798, 0.3956, 0.3201) (multiplicity 16)
P (0.0000, 0.5000, 0.2500) (multiplicity 4)

***

TcHg4Sb: relaxed, PBE-GGA.

## Properties
Formation energy (no corrections), kcal/mol of atoms: 17.66

a b c (Å): 8.1901 8.1901 8.1901
angles (deg): 90.00 90.00 90.00
Space group F-43m (No. 216)
Unique sites:
Tc (0.0000, 0.0000, 0.0000) (multiplicity 4)
Hg (0.1255, 0.1255, 0.6255) (multiplicity 16)
Sb (0.2500, 0.2500, 0.2500) (multiplicity 4)

***

Ta2Cr2GaRu5: relaxed, PBE-GGA.

## Properties
Formation enthalpy at 0 K, kJ per mole of atoms: -1

a b c (Å): 9.2108 9.2108 3.5063
angles (deg): 90.00 90.00 90.00
Space group P4/mbm (No. 127)
Unique sites:
Ta (0.1731, 0.3269, 0.0000) (multiplicity 4)
Cr (0.1301, 0.6301, 0.0000) (multiplicity 4)
Ga (0.0000, 0.0000, 0.0000) (multiplicity 2)
Ru (0.0000, 0.5000, 0.5000) (multiplicity 2)
Ru (0.0670, 0.7957, 0.5000) (multiplicity 8)

***

Tb3PrEr2Se6: relaxed, PBE-GGA.

## Properties
Formation energy (no corrections), kcal/mol of atoms: -40.55

a b c (Å): 7.0973 12.3492 7.1029
angles (deg): 90.00 109.47 90.00
Space group C2/m (No. 12)
Unique sites:
Tb (0.0000, 0.0000, 0.0000) (multiplicity 2)
Tb (0.0000, 0.3430, 0.0000) (multiplicity 4)
Pr (0.0000, 0.5000, 0.5000) (multiplicity 2)
Er (0.0000, 0.1652, 0.5000) (multiplicity 4)
Se (0.2353, 0.0000, 0.7460) (multiplicity 4)
Se (0.2422, 0.1740, 0.2466) (multiplicity 8)

***

- Number 2 is which compound?
  MnIrSe2